# YMnW, PBEsol geometry, DFT meta-GGA SCAN
data_YMnW
_chemical_formula_sum 'Y1 Mn1 W1'
_space_group_name_H-M_alt 'P 1'
_space_group_IT_number 1
_cell_length_a 3.916
_cell_length_b 3.916
_cell_length_c 4.496
_cell_angle_alpha 90.00
_cell_angle_beta 90.00
_cell_angle_gamma 120.00
loop_
_space_group_symop_operation_xyz
'x,y,z'
loop_
_atom_site_label
_atom_site_type_symbol
_atom_site_fract_x
_atom_site_fract_y
_atom_site_fract_z
Y1 Y 0.000 0.000 0.000
Mn1 Mn 0.333 0.667 0.500
W1 W 0.667 0.333 0.500
# Energy of formation from the pure elements in eV/f.u.: 1.29
# DOS(E_F) in states/eV per atom: 0.716
# E above lowest polymorph in meV per atom: 0
# Crystal system: hexagonal

***

# Mn2ZnW, PBEsol geometry, DFT meta-GGA SCAN
data_Mn2ZnW
_chemical_formula_sum 'Mn2 Zn1 W1'
_space_group_name_H-M_alt 'P 1'
_space_group_IT_number 1
_cell_length_a 4.870
_cell_length_b 4.870
_cell_length_c 2.564
_cell_angle_alpha 101.67
_cell_angle_beta 101.67
_cell_angle_gamma 115.49
loop_
_space_group_symop_operation_xyz
'x,y,z'
loop_
_atom_site_label
_atom_site_type_symbol
_atom_site_fract_x
_atom_site_fract_y
_atom_site_fract_z
Mn1 Mn 0.000 0.500 0.000
Mn2 Mn 0.500 0.000 0.000
Zn1 Zn 0.000 0.000 0.500
W1 W 0.500 0.500 0.500
# Energy of formation from the pure elements in eV/f.u.: 0.77
# DOS(E_F) in states/eV per atom: 0.909
# Crystal system: monoclinic

***

# MnZn2W, PBEsol geometry, DFT meta-GGA SCAN
data_MnZn2W
_chemical_formula_sum 'Mn1 Zn2 W1'
_space_group_name_H-M_alt 'P 1'
_space_group_IT_number 1
_cell_length_a 8.937
_cell_length_b 8.937
_cell_length_c 8.937
_cell_angle_alpha 17.25
_cell_angle_beta 17.25
_cell_angle_gamma 17.25
loop_
_space_group_symop_operation_xyz
'x,y,z'
loop_
_atom_site_label
_atom_site_type_symbol
_atom_site_fract_x
_atom_site_fract_y
_atom_site_fract_z
Mn1 Mn 0.000 0.000 0.000
Zn1 Zn 0.497 0.497 0.497
Zn2 Zn 0.745 0.745 0.745
W1 W 0.253 0.253 0.253
# Energy of formation from the pure elements in eV/f.u.: 0.78
# DOS(E_F) in states/eV per atom: 0.795
# Crystal system: trigonal

***

# Mn2ZnW, PBEsol geometry, DFT meta-GGA SCAN
data_Mn2ZnW
_chemical_formula_sum 'Mn2 Zn1 W1'
_space_group_name_H-M_alt 'P 1'
_space_group_IT_number 1
_cell_length_a 8.782
_cell_length_b 8.782
_cell_length_c 8.782
_cell_angle_alpha 17.35
_cell_angle_beta 17.35
_cell_angle_gamma 17.35
loop_
_space_group_symop_operation_xyz
'x,y,z'
loop_
_atom_site_label
_atom_site_type_symbol
_atom_site_fract_x
_atom_site_fract_y
_atom_site_fract_z
Mn1 Mn 0.248 0.248 0.248
Mn2 Mn 0.752 0.752 0.752
Zn1 Zn 0.500 0.500 0.500
W1 W 0.000 0.000 0.000
# Energy of formation from the pure elements in eV/f.u.: 0.80
# DOS(E_F) in states/eV per atom: 0.857
# Crystal system: trigonal

***

# ZrMn4W, PBEsol geometry, DFT meta-GGA SCAN
data_ZrMn4W
_chemical_formula_sum 'Zr1 Mn4 W1'
_space_group_name_H-M_alt 'P 1'
_space_group_IT_number 1
_cell_length_a 4.774
_cell_length_b 4.774
_cell_length_c 4.774
_cell_angle_alpha 60.00
_cell_angle_beta 60.00
_cell_angle_gamma 60.00
loop_
_space_group_symop_operation_xyz
'x,y,z'
loop_
_atom_site_label
_atom_site_type_symbol
_atom_site_fract_x
_atom_site_fract_y
_atom_site_fract_z
Zr1 Zr 0.000 0.000 0.000
Mn1 Mn 0.124 0.625 0.625
Mn2 Mn 0.625 0.124 0.625
Mn3 Mn 0.625 0.625 0.124
Mn4 Mn 0.625 0.625 0.625
W1 W 0.250 0.250 0.250
# Energy of formation from the pure elements in eV/f.u.: -0.05
# DOS(E_F) in states/eV per atom: 0.816
# Crystal system: cubic

***

# ZrMn2W, PBEsol geometry, DFT meta-GGA SCAN
data_ZrMn2W
_chemical_formula_sum 'Zr1 Mn2 W1'
_space_group_name_H-M_alt 'P 1'
_space_group_IT_number 1
_cell_length_a 2.722
_cell_length_b 2.722
_cell_length_c 7.694
_cell_angle_alpha 90.00
_cell_angle_beta 90.00
_cell_angle_gamma 90.00
loop_
_space_group_symop_operation_xyz
'x,y,z'
loop_
_atom_site_label
_atom_site_type_symbol
_atom_site_fract_x
_atom_site_fract_y
_atom_site_fract_z
Zr1 Zr 0.000 0.000 0.000
Mn1 Mn 0.000 0.000 0.430
Mn2 Mn 0.500 0.500 0.273
W1 W 0.500 0.500 0.682
# Energy of formation from the pure elements in eV/f.u.: 0.95
# DOS(E_F) in states/eV per atom: 0.952
# Crystal system: tetragonal